Record 1
First-principles (PBE) data for a geometry-optimized YNi2Pb structure, as listed in Alexandria.

energy of formation from the pure elements: 0.174 eV/atom
total energy: -5.26 eV per atom
space-group type: I-42d, No. 122
calculated volume: 22.57 A^3/atom

a = 4.515 Å, b = 4.515 Å, c = 9.414 Å
α = 76.12°, β = 76.12°, γ = 90.00°
Positions (direct):
Pb  0.000  0.000  0.000
Pb  0.750  0.250  0.500
Y  0.500  0.500  0.000
Y  0.250  0.750  0.500
Ni  0.787  0.125  0.250
Ni  0.963  0.625  0.250
Ni  0.375  0.213  0.750
Ni  0.875  0.037  0.750

=====

Record 2
First-principles (PBE) data for a geometry-optimized Y2NiPb structure, as listed in Alexandria.

energy of formation from the pure elements: 0.116 eV/atom
total energy: -5.49 eV per atom
space-group type: F-43m, No. 216
calculated volume: 23.76 A^3/atom

a = 5.122 Å, b = 5.122 Å, c = 5.122 Å
α = 60.00°, β = 60.00°, γ = 60.00°
Positions (direct):
Ni  0.500  0.500  0.500
Pb  0.750  0.750  0.750
Y  0.000  0.000  0.000
Y  0.250  0.250  0.250